Below is crystalline SrYCu2F at its relaxed geometry, with properties calculated at the PBE level.

Geometry as POSCAR:
```
SrYCu2F
1.0
-0.590 2.546 4.234
5.408 -4.000 3.159
3.361 3.332 -1.536
Cu F Sr Y
2 1 1 1
direct
0.500 0.000 0.000
0.000 0.000 0.500
0.500 0.500 0.500
0.000 0.500 0.000
0.000 0.000 0.000
```

E: -3.32 eV per atom